# Si2RhSe PBEsol optimized geometry
data_Si2RhSe
_chemical_formula_sum 'Si2 Rh1 Se1'
_cell_length_a 2.761
_cell_length_b 3.304
_cell_length_c 6.989
_cell_angle_alpha 90.00
_cell_angle_beta 90.00
_cell_angle_gamma 90.00
_symmetry_space_group_name_H-M 'P m m 2'
_symmetry_Int_Tables_number 25
loop_
_symmetry_equiv_pos_as_xyz
'x,y,z'
'-x,-y,z'
'-x,y,z'
'x,-y,z'
loop_
_atom_site_label
_atom_site_fract_x
_atom_site_fract_y
_atom_site_fract_z
_atom_site_occupancy
Si1 0.000 0.000 0.000 1
Si2 0.500 0.500 0.211 1
Rh1 0.000 0.000 0.379 1
Se1 0.500 0.500 0.639 1
# ρ = 6.20 Mg/m³
# ΔE_f (raw) = -0.023 eV/atom
# D(E_F) = 2.3 states/eV/cell
# spin magnetization = 0.0 Bohr magnetons per cell